No. 1
# PuIn12Bi6

An optimized crystal structure of PuIn12Bi6 (PBE, the Alexandria database).

Lattice parameters (Å, degrees): 8.2880 8.2880 8.2880 92.06 92.06 92.06
Closest atoms and distances in Å follow each position.
Fractional coordinates of all 19 atoms:
Pu: 0.0000 0.0000 0.0000  6 In 3.24, 6 Bi 3.43
In: 0.4580 0.2144 0.5460  5 In 3.20-3.55, 4 Bi 3.32-3.47
In: 0.2144 0.5460 0.4580  5 In 3.20-3.55, 4 Bi 3.32-3.47
In: 0.5460 0.4580 0.2144  5 In 3.20-3.55, 4 Bi 3.32-3.47
In: 0.5420 0.7856 0.4540  5 In 3.20-3.55, 4 Bi 3.32-3.47
In: 0.7856 0.4540 0.5420  5 In 3.20-3.55, 4 Bi 3.32-3.47
In: 0.4540 0.5420 0.7856  5 In 3.20-3.55, 4 Bi 3.32-3.47
In: 0.8525 0.9621 0.6332  3 Bi 3.15-3.46, 4 In 3.20-3.46, 1 Pu 3.24
In: 0.3668 0.1475 0.0379  3 Bi 3.15-3.46, 4 In 3.20-3.46, 1 Pu 3.24
In: 0.0379 0.3668 0.1475  3 Bi 3.15-3.46, 4 In 3.20-3.46, 1 Pu 3.24
In: 0.1475 0.0379 0.3668  3 Bi 3.15-3.46, 4 In 3.20-3.46, 1 Pu 3.24
In: 0.6332 0.8525 0.9621  3 Bi 3.15-3.46, 4 In 3.20-3.46, 1 Pu 3.24
In: 0.9621 0.6332 0.8525  3 Bi 3.15-3.46, 4 In 3.20-3.46, 1 Pu 3.24
Bi: 0.1104 0.3021 0.7489  7 In 3.15-3.47, 1 Pu 3.43
Bi: 0.6979 0.2511 0.8896  7 In 3.15-3.47, 1 Pu 3.43
Bi: 0.2511 0.8896 0.6979  7 In 3.15-3.47, 1 Pu 3.43
Bi: 0.8896 0.6979 0.2511  7 In 3.15-3.47, 1 Pu 3.43
Bi: 0.3021 0.7489 0.1104  7 In 3.15-3.47, 1 Pu 3.43
Bi: 0.7489 0.1104 0.3021  7 In 3.15-3.47, 1 Pu 3.43

Values from the calculation:
* formation energy from the elements: 15 meV/atom
* SG: R-3 (148)

---

No. 2
# HoMn4Se8

An optimized crystal structure of HoMn4Se8 (PBE, the Alexandria database).

Lattice parameters (Å, degrees): 7.4212 7.4212 7.8951 61.97 61.97 60.00
Closest atoms and distances in Å follow each position.
Fractional coordinates of all 13 atoms:
Ho: 0.5000 0.5000 0.5000  6 Se 2.82
Mn: 0.0000 0.5000 0.0000  6 Se 2.53-2.56
Mn: 0.5000 0.5000 0.0000  6 Se 2.53-2.56
Mn: 0.5000 0.0000 0.0000  6 Se 2.53-2.56
Mn: 0.0000 0.0000 0.0000  6 Se 2.61
Se: 0.7334 0.2415 0.7835  3 Mn 2.56-2.61, 1 Ho 2.82
Se: 0.7585 0.2666 0.2165  3 Mn 2.56-2.61, 1 Ho 2.82
Se: 0.2666 0.7585 0.2165  3 Mn 2.56-2.61, 1 Ho 2.82
Se: 0.7585 0.7585 0.2165  3 Mn 2.56-2.61, 1 Ho 2.82
Se: 0.7347 0.7347 0.7958  3 Mn 2.53
Se: 0.2653 0.2653 0.2042  3 Mn 2.53
Se: 0.2415 0.2415 0.7835  3 Mn 2.56-2.61, 1 Ho 2.82
Se: 0.2415 0.7334 0.7835  3 Mn 2.56-2.61, 1 Ho 2.82

Values from the calculation:
* formation energy without anion corrections: -670 meV per atom
* SG: R-3m (166)

---

No. 3
# Na3Pu3GeSe8

An optimized crystal structure of Na3Pu3GeSe8 (PBE, the Alexandria database).

Lattice parameters (Å, degrees): 8.3176 8.3196 8.4074 119.67 90.00 119.99
Closest atoms and distances in Å follow each position.
Fractional coordinates of all 15 atoms:
Na: 0.0000 0.0000 0.0000  6 Se 3.03-3.09
Na: 0.0000 0.5000 0.0000  6 Se 3.03-3.09
Na: 0.5000 0.5000 0.0000  6 Se 3.03-3.09
Pu: 0.5000 0.0000 0.5000  6 Se 2.83-2.89
Pu: 0.5000 0.5000 0.5000  6 Se 2.83-2.88
Pu: 0.0000 0.5000 0.5000  6 Se 2.83-2.88
Ge: 0.0000 0.0000 0.5000  6 Se 2.83
Se: 0.2559 0.5119 0.2684  3 Pu 2.88-2.89, 3 Na 3.03
Se: 0.7441 0.4881 0.7316  3 Pu 2.88-2.89, 3 Na 3.03
Se: 0.7608 0.5215 0.2820  1 Ge 2.83, 2 Pu 2.83, 2 Na 3.09
Se: 0.2392 0.4785 0.7180  1 Ge 2.83, 2 Pu 2.83, 2 Na 3.09
Se: 0.7610 0.0207 0.2821  1 Ge 2.83, 2 Pu 2.83-2.84, 2 Na 3.09
Se: 0.2390 0.9793 0.7179  1 Ge 2.83, 2 Pu 2.83-2.84, 2 Na 3.09
Se: 0.2597 0.0207 0.2821  1 Ge 2.83, 2 Pu 2.83-2.84, 2 Na 3.09
Se: 0.7403 0.9793 0.7179  1 Ge 2.83, 2 Pu 2.83-2.84, 2 Na 3.09

Values from the calculation:
* formation energy without anion corrections: -1158 meV per atom
* SG: R-3m (166)

---

No. 4
# CsLaSiNi2

An optimized crystal structure of CsLaSiNi2 (PBE, the Alexandria database).

Lattice parameters (Å, degrees): 4.8261 5.6898 4.8261 90.00 90.00 90.00
Closest atoms and distances in Å follow each position.
Fractional coordinates of all 5 atoms:
Cs: 0.0000 0.0000 0.0000  4 Ni 2.41
Ni: 0.0000 0.0000 0.5000  2 Cs 2.41
Ni: 0.5000 0.0000 0.0000  2 Cs 2.41
Si: 0.0000 0.5000 0.0000  2 Cs 2.84
La: 0.5000 0.5000 0.5000  4 Si 3.41, 8 Ni 3.73

Values from the calculation:
* formation energy without anion corrections: 1362 meV per atom
* SG: P4/mmm (123)

---

No. 5
# LaSbNF2

An optimized crystal structure of LaSbNF2 (PBE, the Alexandria database).

Lattice parameters (Å, degrees): 4.5693 4.5693 4.3447 90.00 90.00 90.00
Closest atoms and distances in Å follow each position.
Fractional coordinates of all 5 atoms:
Sb: 0.0000 0.0000 0.0000  2 N 2.17, 4 F 2.28
N: 0.0000 0.0000 0.5000  2 Sb 2.17
F: 0.0000 0.5000 0.0000  2 Sb 2.28
F: 0.5000 0.0000 0.0000  2 Sb 2.28
La: 0.5000 0.5000 0.5000  8 F 3.15, 4 N 3.23

Values from the calculation:
* formation energy without anion corrections: -1153 meV per atom
* ΔE to the lowest computed polymorph: 288.1 meV per atom
* SG: P4/mmm (123)

---

No. 6
# LiLaY2

An optimized crystal structure of LiLaY2 (PBE, the Alexandria database).

Lattice parameters (Å, degrees): 8.5335 8.5335 6.9011 51.81 51.81 90.00
Closest atoms and distances in Å follow each position.
Fractional coordinates of all 8 atoms:
Y: 0.5829 0.1250 0.2500  2 Li 2.90
Y: 0.1671 0.6250 0.2500  2 Li 2.90
Y: 0.3750 0.4171 0.7500  2 Li 2.90
Y: 0.8750 0.8329 0.7500  2 Li 2.90
Li: 0.5000 0.5000 0.0000  4 Y 2.90
Li: 0.2500 0.7500 0.5000  4 Y 2.90
La: 0.0000 0.0000 0.0000  2 Li 3.35, 8 Y 3.39-3.74
La: 0.7500 0.2500 0.5000  2 Li 3.35, 8 Y 3.39-3.74

Values from the calculation:
* ΔE to the lowest computed polymorph: 207.6 meV per atom
* formation energy from the elements: 278 meV/atom
* SG: I-42d (122)